# PBE LiAgAsO, relaxed
# * E above lowest polymorph: 0.68 eV/f.u.
# * crystal system: tetragonal
# * calculated density: 6.16 g cm⁻³
data_LiAgAsO
_space_group_name_H-M_alt 'P 1'
_space_group_IT_number 1
_cell_length_a 3.9798
_cell_length_b 3.9798
_cell_length_c 6.9998
_cell_angle_alpha 90.00
_cell_angle_beta 90.00
_cell_angle_gamma 90.00
loop_
_space_group_symop_operation_xyz
'x,y,z'
loop_
_atom_site_label
_atom_site_type_symbol
_atom_site_fract_x
_atom_site_fract_y
_atom_site_fract_z
Ag1 Ag 0.0000 0.0000 0.5000
Ag2 Ag 0.5000 0.5000 0.5000
As1 As 0.5000 0.0000 0.2395
As2 As 0.0000 0.5000 0.7605
Li1 Li 0.0000 0.5000 0.1120
Li2 Li 0.5000 0.0000 0.8880
O1 O 0.0000 0.0000 0.0000
O2 O 0.5000 0.5000 0.0000

***

# PBE LiAgAsO, relaxed
# * E above lowest polymorph: 0.34 eV/f.u.
# * crystal system: orthorhombic
# * calculated density: 5.34 g cm⁻³
data_LiAgAsO
_space_group_name_H-M_alt 'P 1'
_space_group_IT_number 1
_cell_length_a 3.0670
_cell_length_b 8.1328
_cell_length_c 5.1325
_cell_angle_alpha 90.00
_cell_angle_beta 90.00
_cell_angle_gamma 90.00
loop_
_space_group_symop_operation_xyz
'x,y,z'
loop_
_atom_site_label
_atom_site_type_symbol
_atom_site_fract_x
_atom_site_fract_y
_atom_site_fract_z
Ag1 Ag 0.0000 0.7180 0.4436
Ag2 Ag 0.0000 0.2820 0.9436
As1 As 0.0000 0.4113 0.4337
As2 As 0.0000 0.5887 0.9337
Li1 Li 0.5000 0.9039 0.0109
Li2 Li 0.5000 0.0961 0.5109
O1 O 0.5000 0.8961 0.3659
O2 O 0.5000 0.1039 0.8659

***

# PBE Li4SiAg2As, relaxed
# * crystal system: tetragonal
# * calculated density: 4.80 g cm⁻³
# * raw total energy: -26.30 eV/cell
data_Li4SiAg2As
_space_group_name_H-M_alt 'P 1'
_space_group_IT_number 1
_cell_length_a 4.3715
_cell_length_b 4.3715
_cell_length_c 6.2688
_cell_angle_alpha 90.00
_cell_angle_beta 90.00
_cell_angle_gamma 90.00
loop_
_space_group_symop_operation_xyz
'x,y,z'
loop_
_atom_site_label
_atom_site_type_symbol
_atom_site_fract_x
_atom_site_fract_y
_atom_site_fract_z
Ag1 Ag 0.0000 0.5000 0.2692
Ag2 Ag 0.5000 0.0000 0.7308
As1 As 0.0000 0.0000 0.0000
Li1 Li 0.5000 0.5000 0.0000
Li2 Li 0.5000 0.0000 0.2513
Li3 Li 0.0000 0.0000 0.5000
Li4 Li 0.0000 0.5000 0.7487
Si1 Si 0.5000 0.5000 0.5000

***

# PBE Sr2LiAgAs2, relaxed
# * crystal system: hexagonal
# * calculated density: 4.94 g cm⁻³
# * raw total energy: -22.87 eV/cell
data_Sr2LiAgAs2
_space_group_name_H-M_alt 'P 1'
_space_group_IT_number 1
_cell_length_a 4.5405
_cell_length_b 4.5405
_cell_length_c 8.2896
_cell_angle_alpha 90.00
_cell_angle_beta 90.00
_cell_angle_gamma 120.00
loop_
_space_group_symop_operation_xyz
'x,y,z'
loop_
_atom_site_label
_atom_site_type_symbol
_atom_site_fract_x
_atom_site_fract_y
_atom_site_fract_z
Ag1 Ag 0.6667 0.3333 0.0000
As1 As 0.3333 0.6667 0.0000
As2 As 0.6667 0.3333 0.5000
Li1 Li 0.3333 0.6667 0.5000
Sr1 Sr 0.0000 0.0000 0.2523
Sr2 Sr 0.0000 0.0000 0.7477

***

# PBE LuAg2As, relaxed
# * crystal system: cubic
# * calculated density: 9.80 g cm⁻³
# * raw total energy: -16.21 eV/cell
# * total moment: 0.01 Bohr magnetons per cell
data_LuAg2As
_space_group_name_H-M_alt 'P 1'
_space_group_IT_number 1
_cell_length_a 4.8140
_cell_length_b 4.8140
_cell_length_c 4.8140
_cell_angle_alpha 60.00
_cell_angle_beta 60.00
_cell_angle_gamma 60.00
loop_
_space_group_symop_operation_xyz
'x,y,z'
loop_
_atom_site_label
_atom_site_type_symbol
_atom_site_fract_x
_atom_site_fract_y
_atom_site_fract_z
Ag1 Ag 0.0000 0.0000 0.0000
Ag2 Ag 0.7500 0.7500 0.7500
As1 As 0.5000 0.5000 0.5000
Lu1 Lu 0.2500 0.2500 0.2500

***

# PBE Lu2AgAs, relaxed
# * crystal system: cubic
# * calculated density: 9.74 g cm⁻³
# * raw total energy: -16.46 eV/cell
# * total moment: 0.00 Bohr magnetons per cell
data_Lu2AgAs
_space_group_name_H-M_alt 'P 1'
_space_group_IT_number 1
_cell_length_a 5.0461
_cell_length_b 5.0461
_cell_length_c 5.0461
_cell_angle_alpha 60.00
_cell_angle_beta 60.00
_cell_angle_gamma 60.00
loop_
_space_group_symop_operation_xyz
'x,y,z'
loop_
_atom_site_label
_atom_site_type_symbol
_atom_site_fract_x
_atom_site_fract_y
_atom_site_fract_z
Ag1 Ag 0.2500 0.2500 0.2500
As1 As 0.5000 0.5000 0.5000
Lu1 Lu 0.0000 0.0000 0.0000
Lu2 Lu 0.7500 0.7500 0.7500

***

# PBE MgAg2As2, relaxed
# * crystal system: orthorhombic
# * calculated density: 6.38 g cm⁻³
# * raw total energy: -33.06 eV/cell
data_MgAg2As2
_space_group_name_H-M_alt 'P 1'
_space_group_IT_number 1
_cell_length_a 6.8726
_cell_length_b 6.8726
_cell_length_c 7.1214
_cell_angle_alpha 90.00
_cell_angle_beta 90.00
_cell_angle_gamma 142.90
loop_
_space_group_symop_operation_xyz
'x,y,z'
loop_
_atom_site_label
_atom_site_type_symbol
_atom_site_fract_x
_atom_site_fract_y
_atom_site_fract_z
Ag1 Ag 0.6828 0.3172 0.1536
Ag2 Ag 0.4645 0.5355 0.2561
Ag3 Ag 0.3172 0.6828 0.6536
Ag4 Ag 0.5355 0.4645 0.7561
As1 As 0.0743 0.9257 0.0205
As2 As 0.2912 0.7088 0.0423
As3 As 0.9257 0.0743 0.5205
As4 As 0.7088 0.2912 0.5423
Mg1 Mg 0.1218 0.8782 0.3932
Mg2 Mg 0.8782 0.1218 0.8932

***

# PBE MgAgAs, relaxed
# * crystal system: hexagonal
# * calculated density: 6.20 g cm⁻³
# * raw total energy: -19.25 eV/cell
data_MgAgAs
_space_group_name_H-M_alt 'P 1'
_space_group_IT_number 1
_cell_length_a 4.6866
_cell_length_b 4.6866
_cell_length_c 5.8332
_cell_angle_alpha 90.00
_cell_angle_beta 90.00
_cell_angle_gamma 120.00
loop_
_space_group_symop_operation_xyz
'x,y,z'
loop_
_atom_site_label
_atom_site_type_symbol
_atom_site_fract_x
_atom_site_fract_y
_atom_site_fract_z
Ag1 Ag 0.0000 0.0000 0.0000
Ag2 Ag 0.0000 0.0000 0.5000
As1 As 0.3333 0.6667 0.2500
As2 As 0.6667 0.3333 0.7500
Mg1 Mg 0.6667 0.3333 0.2500
Mg2 Mg 0.3333 0.6667 0.7500